{"formula": "Cu4Ag5", "functional": "PBE", "state": "optimized geometry", "polymorph_energy_mev_per_atom": 50, "dft_energy_ev_per_cell": -28.20, "e_form_kj_per_mol_atoms": 8.5, "lattice": [[4.816, 0.000, 0.000], [0.825, 4.807, 0.000], [1.425, 0.334, 5.953]], "species": ["Ag", "Ag", "Ag", "Ag", "Ag", "Cu", "Cu", "Cu", "Cu"], "frac_coords": [[0.545, 0.607, 0.251], [0.775, 0.053, 0.376], [0.000, 0.500, 0.500], [0.225, 0.947, 0.624], [0.455, 0.393, 0.749], [0.097, 0.728, 0.049], [0.322, 0.154, 0.156], [0.678, 0.846, 0.844], [0.903, 0.272, 0.951]]}